Record 1
This record from Alexandria via LeMat-Bulk describes crystalline K2LiCa at its relaxed geometry. The functional is PBE-GGA.

Geometry as POSCAR:
```
K2LiCa
1.0
5.4725 0.0000 0.0000
0.0000 5.4725 0.0000
0.0000 0.0000 6.5082
K Li Ca
2 1 1
Direct
0.0000 0.5000 0.0000
0.5000 0.0000 0.0000
0.0000 0.0000 0.5000
0.5000 0.5000 0.5000
```

Properties
- Formation enthalpy at 0 K: 20 kJ/mol of atoms



Record 2
This record from Alexandria via LeMat-Bulk describes crystalline NaVZn at its relaxed geometry. The functional is PBE-GGA.

Geometry as POSCAR:
```
NaVZn
1.0
8.0842 0.0000 0.0000
0.0000 2.4559 0.0000
0.0000 0.0000 10.2291
Na V Zn
4 4 4
Direct
0.1665 0.2500 0.0807
0.3335 0.7500 0.5807
0.6665 0.2500 0.4193
0.8335 0.7500 0.9193
0.0503 0.2500 0.3884
0.4497 0.7500 0.8884
0.5503 0.2500 0.1116
0.9497 0.7500 0.6116
0.1564 0.2500 0.7960
0.3436 0.7500 0.2960
0.6564 0.2500 0.7040
0.8436 0.7500 0.2040
```

Properties
- Formation enthalpy at 0 K: 33 kJ/mol of atoms



Record 3
This record from Alexandria via LeMat-Bulk describes crystalline CoReOs2 at its relaxed geometry. The functional is PBE-GGA.

Geometry as POSCAR:
```
CoReOs2
1.0
6.0514 0.0000 0.0000
0.0000 6.0514 0.0000
0.0000 0.0000 6.0514
Co Re Os
4 4 8
Direct
0.0000 0.0000 0.0000
0.0000 0.5000 0.5000
0.5000 0.0000 0.5000
0.5000 0.5000 0.0000
0.0000 0.0000 0.5000
0.0000 0.5000 0.0000
0.5000 0.0000 0.0000
0.5000 0.5000 0.5000
0.2500 0.2500 0.2500
0.2500 0.2500 0.7500
0.2500 0.7500 0.2500
0.2500 0.7500 0.7500
0.7500 0.2500 0.2500
0.7500 0.2500 0.7500
0.7500 0.7500 0.2500
0.7500 0.7500 0.7500
```

Properties
- Formation enthalpy at 0 K: 41 kJ/mol of atoms



Record 4
This record from Alexandria via LeMat-Bulk describes crystalline IrPt2PbS at its relaxed geometry. The functional is PBE-GGA.

Geometry as POSCAR:
```
IrPt2PbS
1.0
4.7928 0.0000 0.0000
0.0000 4.7928 0.0000
0.0000 0.0000 5.5691
Ir Pt Pb S
1 2 1 1
Direct
0.0000 0.0000 0.0000
0.0000 0.5000 0.0000
0.5000 0.0000 0.0000
0.0000 0.0000 0.5000
0.5000 0.5000 0.5000
```

Properties
- Formation energy from raw total energies: 5.4 eV/f.u.



Record 5
This record from Alexandria via LeMat-Bulk describes crystalline Sm5Te2Pb2 at its relaxed geometry. The functional is PBE-GGA.

Geometry as POSCAR:
```
Sm5Te2Pb2
1.0
-8.7477 3.9644 4.2038
8.7477 -3.9644 4.2038
8.7477 3.9644 -4.2038
Sm Te Pb
10 4 4
Direct
0.2183 0.0553 0.2735
0.2183 0.4447 0.6630
0.2412 0.5407 0.0104
0.2412 0.7308 0.2005
0.5303 0.0407 0.7995
0.5303 0.2308 0.9896
0.5640 0.4814 0.5826
0.7817 0.5553 0.3370
0.7817 0.9447 0.7265
0.8988 0.9814 0.4174
0.0395 0.3204 0.2192
0.1012 0.8204 0.7808
0.2729 0.2729 0.0000
0.2729 0.7729 0.5000
0.6767 0.1340 0.3697
0.6767 0.8071 0.0427
0.7643 0.3071 0.6303
0.7643 0.6340 0.9573
```

Properties
- Formation energy from raw total energies: -6.4 eV/f.u.



Record 6
This record from Alexandria via LeMat-Bulk describes crystalline Lu3Pa at its relaxed geometry. The functional is PBE-GGA.

Geometry as POSCAR:
```
Lu3Pa
1.0
3.4065 0.0000 0.0000
0.0000 11.0348 0.0000
0.0000 0.0000 5.9814
Lu Pa
6 2
Direct
0.0000 0.0000 0.0000
0.0000 0.2469 0.6691
0.0000 0.7531 0.6691
0.5000 0.2531 0.1691
0.5000 0.5000 0.5000
0.5000 0.7469 0.1691
0.0000 0.5000 0.0114
0.5000 0.0000 0.5114
```

Properties
- Formation enthalpy at 0 K: 15 kJ/mol of atoms



Record 7
This record from Alexandria via LeMat-Bulk describes crystalline HoSn2Pd at its relaxed geometry. The functional is PBE-GGA.

Geometry as POSCAR:
```
HoSn2Pd
1.0
4.4908 0.0000 0.0000
0.0000 4.4908 0.0000
0.0000 0.0000 4.4028
Ho Sn Pd
1 2 1
Direct
0.0000 0.0000 0.0000
0.0000 0.5000 0.5000
0.5000 0.0000 0.5000
0.5000 0.5000 0.0000
```

Properties
- Formation enthalpy at 0 K: -57 kJ/mol of atoms



Record 8
This record from Alexandria via LeMat-Bulk describes crystalline Be2AlW at its relaxed geometry. The functional is PBE-GGA.

Geometry as POSCAR:
```
Be2AlW
1.0
5.8450 0.0000 0.0000
0.0000 5.8450 0.0000
0.0000 0.0000 5.8450
Be Al W
8 4 4
Direct
0.0000 0.0000 0.0000
0.0000 0.5000 0.5000
0.2500 0.2500 0.2500
0.2500 0.7500 0.7500
0.5000 0.0000 0.5000
0.5000 0.5000 0.0000
0.7500 0.2500 0.7500
0.7500 0.7500 0.2500
0.0000 0.0000 0.5000
0.0000 0.5000 0.0000
0.5000 0.0000 0.0000
0.5000 0.5000 0.5000
0.2500 0.2500 0.7500
0.2500 0.7500 0.2500
0.7500 0.2500 0.2500
0.7500 0.7500 0.7500
```

Properties
- Formation enthalpy at 0 K: 44 kJ/mol of atoms



Record 9
This record from Alexandria via LeMat-Bulk describes crystalline RbLi2ZrS at its relaxed geometry. The functional is PBE-GGA.

Geometry as POSCAR:
```
RbLi2ZrS
1.0
4.3435 0.0000 0.0000
0.0000 4.3435 0.0000
0.0000 0.0000 6.5469
Rb Li Zr S
1 2 1 1
Direct
0.0000 0.0000 0.0000
0.0000 0.5000 0.0000
0.5000 0.0000 0.0000
0.0000 0.0000 0.5000
0.5000 0.5000 0.5000
```

Properties
- Formation energy from raw total energies: 6.6 eV/f.u.



Record 10
This record from Alexandria via LeMat-Bulk describes crystalline KMgCl2F at its relaxed geometry. The functional is PBE-GGA.

Geometry as POSCAR:
```
KMgCl2F
1.0
5.1661 0.0000 0.0000
0.0000 5.1661 0.0000
0.0000 0.0000 3.9223
K Mg Cl F
1 1 2 1
Direct
0.0000 0.0000 0.0000
0.5000 0.5000 0.5000
0.0000 0.5000 0.5000
0.5000 0.0000 0.5000
0.5000 0.5000 0.0000
```

Properties
- Formation energy from raw total energies: -11.8 eV/f.u.



Record 11
This record from Alexandria via LeMat-Bulk describes crystalline LaSmAl2 at its relaxed geometry. The functional is PBE-GGA.

Geometry as POSCAR:
```
LaSmAl2
1.0
4.7415 0.0000 0.0000
0.0000 12.9924 0.0000
0.0000 0.0000 7.1557
La Sm Al
4 4 8
Direct
0.0000 0.0625 0.2500
0.0000 0.9375 0.7500
0.5000 0.4375 0.7500
0.5000 0.5625 0.2500
0.0000 0.2218 0.7500
0.0000 0.7782 0.2500
0.5000 0.2782 0.2500
0.5000 0.7218 0.7500
0.0000 0.4023 0.0662
0.0000 0.4023 0.4338
0.0000 0.5977 0.5662
0.0000 0.5977 0.9338
0.5000 0.0977 0.5662
0.5000 0.0977 0.9338
0.5000 0.9023 0.0662
0.5000 0.9023 0.4338
```

Properties
- Formation enthalpy at 0 K: -36 kJ/mol of atoms



Record 12
This record from Alexandria via LeMat-Bulk describes crystalline Sb2RuPb at its relaxed geometry. The functional is PBE-GGA.

Geometry as POSCAR:
```
Sb2RuPb
1.0
6.3581 0.0000 0.0000
0.0000 8.1314 0.0000
0.0000 0.0000 3.5944
Sb Ru Pb
4 2 2
Direct
0.2500 0.2500 0.0000
0.2500 0.7500 0.0000
0.7500 0.2500 0.0000
0.7500 0.7500 0.0000
0.0000 0.0000 0.5000
0.5000 0.5000 0.5000
0.0000 0.5000 0.5000
0.5000 0.0000 0.5000
```

Properties
- Formation energy from raw total energies: 2.1 eV/f.u.



Record 13
This record from Alexandria via LeMat-Bulk describes crystalline K2AlAu2 at its relaxed geometry. The functional is PBE-GGA.

Geometry as POSCAR:
```
K2AlAu2
1.0
4.6393 0.0000 0.0000
0.0000 4.6393 0.0000
0.0000 0.0000 14.3228
K Al Au
4 2 4
Direct
0.0000 0.5000 0.2500
0.0000 0.5000 0.7500
0.5000 0.0000 0.2500
0.5000 0.0000 0.7500
0.0000 0.0000 0.0000
0.5000 0.5000 0.5000
0.0000 0.0000 0.4063
0.0000 0.0000 0.5937
0.5000 0.5000 0.0937
0.5000 0.5000 0.9063
```

Properties
- Formation enthalpy at 0 K: 26 kJ/mol of atoms



Record 14
This record from Alexandria via LeMat-Bulk describes crystalline Nd3Sm8 at its relaxed geometry. The functional is PBE-GGA.

Geometry as POSCAR:
```
Nd3Sm8
1.0
1.8206 1.0511 32.6924
-1.8206 1.0511 32.6924
0.0000 -2.1022 32.6924
Nd Sm
3 8
Direct
0.0000 0.0000 0.0000
0.2724 0.2724 0.2724
0.7276 0.7276 0.7276
0.0914 0.0914 0.0914
0.1817 0.1817 0.1817
0.3638 0.3638 0.3638
0.4548 0.4548 0.4548
0.5452 0.5452 0.5452
0.6362 0.6362 0.6362
0.8183 0.8183 0.8183
0.9086 0.9086 0.9086
```

Properties
- Formation enthalpy at 0 K: 1 kJ/mol of atoms



Record 15
This record from Alexandria via LeMat-Bulk describes crystalline ScTlSi2Tc at its relaxed geometry. The functional is PBE-GGA.

Geometry as POSCAR:
```
ScTlSi2Tc
1.0
4.6939 0.0000 0.0000
0.0000 4.6939 0.0000
0.0000 0.0000 5.0956
Sc Tl Si Tc
1 1 2 1
Direct
0.0000 0.0000 0.0000
0.5000 0.5000 0.0000
0.0000 0.5000 0.5000
0.5000 0.0000 0.5000
0.0000 0.0000 0.5000
```

Properties
- Formation energy from raw total energies: 0.6 eV/f.u.



Record 16
This record from Alexandria via LeMat-Bulk describes crystalline Ga2Hg13 at its relaxed geometry. The functional is PBE-GGA.

Geometry as POSCAR:
```
Ga2Hg13
1.0
4.3597 2.5171 6.3132
-4.3597 2.5171 6.3132
0.0000 -5.0342 6.3132
Ga Hg
2 13
Direct
0.1508 0.1508 0.1508
0.8492 0.8492 0.8492
0.0000 0.0000 0.0000
0.1295 0.1295 0.5244
0.1295 0.5244 0.1295
0.3057 0.3057 0.6715
0.3057 0.6715 0.3057
0.3285 0.6943 0.6943
0.4756 0.8705 0.8705
0.5244 0.1295 0.1295
0.6715 0.3057 0.3057
0.6943 0.3285 0.6943
0.6943 0.6943 0.3285
0.8705 0.4756 0.8705
0.8705 0.8705 0.4756
```

Properties
- Formation enthalpy at 0 K: 5 kJ/mol of atoms



Record 17
This record from Alexandria via LeMat-Bulk describes crystalline TlCuOsPt2 at its relaxed geometry. The functional is PBE-GGA.

Geometry as POSCAR:
```
TlCuOsPt2
1.0
4.9992 0.0000 0.0000
0.0000 4.9992 0.0000
0.0000 0.0000 4.6214
Tl Cu Os Pt
1 1 1 2
Direct
0.0000 0.0000 0.0000
0.0000 0.0000 0.5000
0.5000 0.5000 0.5000
0.0000 0.5000 0.0000
0.5000 0.0000 0.0000
```

Properties
- Formation enthalpy at 0 K: 197 kJ/mol of atoms



Record 18
This record from Alexandria via LeMat-Bulk describes crystalline Zn3SbI at its relaxed geometry. The functional is PBE-GGA.

Geometry as POSCAR:
```
Zn3SbI
1.0
5.3676 0.0000 0.0000
0.0000 5.3676 0.0000
0.0000 0.0000 5.3676
Zn Sb I
3 1 1
Direct
0.0000 0.0000 0.5000
0.0000 0.5000 0.0000
0.5000 0.0000 0.0000
0.0000 0.0000 0.0000
0.5000 0.5000 0.5000
```

Properties
- Formation energy from raw total energies: 0.7 eV/f.u.



Record 19
This record from Alexandria via LeMat-Bulk describes crystalline U2Pa2Te7 at its relaxed geometry. The functional is PBE-GGA.

Geometry as POSCAR:
```
U2Pa2Te7
1.0
5.2350 0.0000 0.0000
0.0000 5.2350 0.0000
0.0000 0.0000 14.6916
U Pa Te
2 2 7
Direct
0.0000 0.5000 0.1312
0.5000 0.0000 0.8688
0.0000 0.5000 0.6265
0.5000 0.0000 0.3735
0.0000 0.0000 0.2413
0.0000 0.0000 0.5000
0.0000 0.0000 0.7587
0.5000 0.5000 0.0000
0.5000 0.5000 0.2543
0.5000 0.5000 0.5000
0.5000 0.5000 0.7457
```

Properties
- Formation energy from raw total energies: -5.5 eV/f.u.



Record 20
This record from Alexandria via LeMat-Bulk describes crystalline SiAg2Pt at its relaxed geometry. The functional is PBE-GGA.

Geometry as POSCAR:
```
SiAg2Pt
1.0
2.9512 0.0000 0.0000
0.0000 4.5414 0.0000
-0.9296 0.0000 4.9426
Si Ag Pt
1 2 1
Direct
0.0000 0.0000 0.0000
0.3296 0.5000 0.2366
0.6704 0.5000 0.7634
0.0000 0.0000 0.5000
```

Properties
- Formation energy from raw total energies: 0.1 eV/f.u.



Record 21
This record from Alexandria via LeMat-Bulk describes crystalline AuSe2Br at its relaxed geometry. The functional is PBE-GGA.

Geometry as POSCAR:
```
AuSe2Br
1.0
3.7862 0.0000 0.0000
0.0000 3.7589 0.0000
-0.0848 0.0000 8.3032
Au Se Br
1 2 1
Direct
0.0000 0.0000 0.0000
0.0000 0.0000 0.5000
0.5000 0.5000 0.0000
0.5000 0.5000 0.5000
```

Properties
- Formation energy from raw total energies: 1.4 eV/f.u.



Record 22
This record from Alexandria via LeMat-Bulk describes crystalline Mg7Ge2Pt at its relaxed geometry. The functional is PBE-GGA.

Geometry as POSCAR:
```
Mg7Ge2Pt
1.0
4.5438 0.0000 0.0000
-2.2719 3.9350 0.0000
0.0000 0.0000 11.5793
Mg Ge Pt
7 2 1
Direct
0.0000 0.0000 0.0000
0.0000 0.0000 0.2428
0.0000 0.0000 0.7106
0.3333 0.6667 0.3757
0.3333 0.6667 0.8841
0.6667 0.3333 0.1165
0.6667 0.3333 0.5490
0.0000 0.0000 0.4753
0.6667 0.3333 0.7981
0.3333 0.6667 0.1274
```

Properties
- Formation enthalpy at 0 K: -34 kJ/mol of atoms



Record 23
This record from Alexandria via LeMat-Bulk describes crystalline AgSbSe2I at its relaxed geometry. The functional is PBE-GGA.

Geometry as POSCAR:
```
AgSbSe2I
1.0
5.4843 0.0000 0.0000
0.0000 5.4843 0.0000
0.0000 0.0000 5.2544
Ag Sb Se I
1 1 2 1
Direct
0.0000 0.0000 0.0000
0.5000 0.5000 0.0000
0.0000 0.5000 0.5000
0.5000 0.0000 0.5000
0.0000 0.0000 0.5000
```

Properties
- Formation energy from raw total energies: 4.2 eV/f.u.



Record 24
This record from Alexandria via LeMat-Bulk describes crystalline Y8Er6Th at its relaxed geometry. The functional is PBE-GGA.

Geometry as POSCAR:
```
Y8Er6Th
1.0
4.5020 2.5993 6.8803
-4.5020 2.5993 6.8803
0.0000 -5.1985 6.8803
Y Er Th
8 6 1
Direct
0.0775 0.0775 0.0775
0.2178 0.2525 0.6117
0.2525 0.6117 0.2178
0.3883 0.7822 0.7475
0.6117 0.2178 0.2525
0.7475 0.3883 0.7822
0.7822 0.7475 0.3883
0.9225 0.9225 0.9225
0.0376 0.7341 0.6045
0.2659 0.3955 0.9624
0.3955 0.9624 0.2659
0.6045 0.0376 0.7341
0.7341 0.6045 0.0376
0.9624 0.2659 0.3955
0.5000 0.5000 0.5000
```

Properties
- Formation enthalpy at 0 K: 12 kJ/mol of atoms



Record 25
This record from Alexandria via LeMat-Bulk describes crystalline YBeZn2Hg at its relaxed geometry. The functional is PBE-GGA.

Geometry as POSCAR:
```
YBeZn2Hg
1.0
5.7159 0.0000 0.0000
0.0000 5.7159 0.0000
0.0000 0.0000 5.3608
Y Be Zn Hg
1 1 2 1
Direct
0.0000 0.0000 0.0000
0.0000 0.0000 0.5000
0.0000 0.5000 0.0000
0.5000 0.0000 0.0000
0.5000 0.5000 0.5000
```

Properties
- Formation enthalpy at 0 K: 105 kJ/mol of atoms



Record 26
This record from Alexandria via LeMat-Bulk describes crystalline SbPCO2 at its relaxed geometry. The functional is PBE-GGA.

Geometry as POSCAR:
```
SbPCO2
1.0
3.7843 0.0000 0.0000
0.0000 3.7843 0.0000
0.0000 0.0000 5.5063
Sb P C O
1 1 1 2
Direct
0.0000 0.0000 0.0000
0.0000 0.0000 0.5000
0.5000 0.5000 0.5000
0.0000 0.5000 0.0000
0.5000 0.0000 0.0000
```

Properties
- Formation energy from raw total energies: 4.7 eV/f.u.



no.,final energy (eV per atom),total magnetization (Bohr magnetons per cell)
1,-1.32,0.0
2,-3.56,0.0
3,-10.08,0.0
4,-4.67,0.0
5,-4.85,0.0
6,-5.61,0.0
7,-5.04,0.0
8,-5.58,0.0
9,-2.18,0.0
10,-4.01,0.0
11,-4.66,0.0
12,-4.78,0.0
13,-2.23,0.0
14,-4.72,0.0
15,-5.87,0.0
16,-0.61,0.0
17,-3.91,2.9
18,-1.77,0.0
19,-6.28,8.0
20,-4.26,0.0
21,-2.64,0.0
22,-2.99,0.0
23,-2.26,0.0
24,-5.64,0.0
25,-1.52,0.2
26,-4.80,0.6